[1]
DFT (GGA-PBE) results for a relaxed Mn2Ir crystal.

Values from the calculation:
Total moment in μB per formula unit: 0.0
ρ in Mg/m³: 13.64
Energy in eV/cell: -27.087
Calculated formation energy in eV/atom: 0.04
D(E_F) in states/eV/cell: 4.03
SG: P-3m1

```
Mn2Ir
1.0
2.6090 0.0000 0.0000
-1.3045 2.2594 0.0000
0.0000 0.0000 6.2378
Ir Mn
1 2
direct
0.0000 0.0000 0.0000
0.3333 0.6667 0.3470
0.6667 0.3333 0.6530
```



[2]
DFT (GGA-PBE) results for a relaxed LaCeThHg crystal.

Values from the calculation:
Total moment in μB per formula unit: 1.0
ρ in Mg/m³: 10.27
Energy in eV/cell: -18.506
Calculated formation energy in eV/atom: 0.02
D(E_F) in states/eV/cell: 9.40
SG: F-43m

```
LaCeThHg
1.0
-2.1634 -2.8351 -4.1349
2.9110 -0.8596 -4.5390
1.8574 -5.0054 -1.1452
Ce Hg Th La
1 1 1 1
direct
0.2500 0.2500 0.2500
0.7500 0.7500 0.7500
0.5000 0.5000 0.5000
0.0000 0.0000 0.0000
```